No. 1
The following is a DFT calculation (PBE-GGA) of a relaxed Y19Er4Th6 crystal.

Output
Space-group type: I23, No. 197
E_form in eV per atom: 0.425
Magnetic moment in μB/cell: 0.0
DOS at the Fermi energy in states/eV per atom: 1.6959

abc: 10.813 10.813 10.813
angles: 109.47 109.47 109.47
Element x y z (fractional)
Y: 0.000 0.000 0.000
Y: 0.000 0.264 0.264
Y: 0.000 0.736 0.736
Y: 0.019 0.213 0.675
Y: 0.193 0.981 0.656
Y: 0.213 0.675 0.019
Y: 0.264 0.000 0.264
Y: 0.264 0.264 0.000
Y: 0.325 0.538 0.344
Y: 0.344 0.325 0.538
Y: 0.462 0.787 0.807
Y: 0.538 0.344 0.325
Y: 0.656 0.193 0.981
Y: 0.675 0.019 0.213
Y: 0.736 0.000 0.736
Y: 0.736 0.736 0.000
Y: 0.787 0.807 0.462
Y: 0.807 0.462 0.787
Y: 0.981 0.656 0.193
Er: 0.000 0.000 0.356
Er: 0.000 0.356 0.000
Er: 0.356 0.000 0.000
Er: 0.644 0.644 0.644
Th: 0.128 0.500 0.628
Th: 0.372 0.872 0.500
Th: 0.500 0.372 0.872
Th: 0.500 0.628 0.128
Th: 0.628 0.128 0.500
Th: 0.872 0.500 0.372

=====

No. 2
The following is a DFT calculation (PBE-GGA) of a relaxed Y6ErTh2 crystal.

Output
Space-group type: P-6m2, No. 187
E_form in eV per atom: 0.070
Magnetic moment in μB/cell: 0.5
DOS at the Fermi energy in states/eV per atom: 2.1175

abc: 3.584 3.584 26.316
angles: 90.00 90.00 120.00
Element x y z (fractional)
Y: 0.000 0.000 0.063
Y: 0.000 0.000 0.283
Y: 0.000 0.000 0.717
Y: 0.000 0.000 0.937
Y: 0.333 0.667 0.392
Y: 0.333 0.667 0.608
Er: 0.000 0.000 0.500
Th: 0.333 0.667 0.171
Th: 0.333 0.667 0.829

=====

No. 3
The following is a DFT calculation (PBE-GGA) of a relaxed Y3Er2Th2 crystal.

Output
Space-group type: C2/m, No. 12
E_form in eV per atom: 0.144
Magnetic moment in μB/cell: 0.0
DOS at the Fermi energy in states/eV per atom: 1.6045

abc: 8.869 8.869 8.609
angles: 118.52 118.52 22.40
Element x y z (fractional)
Y: 0.000 0.000 0.000
Y: 0.216 0.216 0.132
Y: 0.784 0.784 0.868
Er: 0.437 0.437 0.281
Er: 0.563 0.563 0.719
Th: 0.150 0.150 0.459
Th: 0.850 0.850 0.541

=====

No. 4
The following is a DFT calculation (PBE-GGA) of a relaxed Y2ErTh crystal.

Output
Space-group type: R-3m, No. 166
E_form in eV per atom: 0.029
Magnetic moment in μB/cell: 0.0
DOS at the Fermi energy in states/eV per atom: 1.5722

abc: 11.731 11.731 11.731
angles: 17.52 17.52 17.52
Element x y z (fractional)
Y: 0.249 0.249 0.249
Y: 0.751 0.751 0.751
Er: 0.000 0.000 0.000
Th: 0.500 0.500 0.500

=====

No. 5
The following is a DFT calculation (PBE-GGA) of a relaxed Y2ErTh crystal.

Output
Space-group type: P4/mmm, No. 123
E_form in eV per atom: 0.044
Magnetic moment in μB/cell: 0.0
DOS at the Fermi energy in states/eV per atom: 1.6186

abc: 5.015 5.015 5.060
angles: 90.00 90.00 90.00
Element x y z (fractional)
Y: 0.000 0.500 0.000
Y: 0.500 0.000 0.000
Er: 0.000 0.000 0.500
Th: 0.500 0.500 0.500

=====

No. 6
The following is a DFT calculation (PBE-GGA) of a relaxed Y7Er12Th crystal.

Output
Space-group type: R-3, No. 148
E_form in eV per atom: 0.230
Magnetic moment in μB/cell: 0.0
DOS at the Fermi energy in states/eV per atom: 2.1259

abc: 8.659 8.659 8.659
angles: 89.23 89.23 89.23
Element x y z (fractional)
Y: 0.000 0.000 0.000
Y: 0.118 0.344 0.450
Y: 0.344 0.450 0.118
Y: 0.450 0.118 0.344
Y: 0.550 0.882 0.656
Y: 0.656 0.550 0.882
Y: 0.882 0.656 0.550
Er: 0.001 0.646 0.118
Er: 0.118 0.001 0.646
Er: 0.219 0.635 0.759
Er: 0.241 0.781 0.365
Er: 0.354 0.882 0.999
Er: 0.365 0.241 0.781
Er: 0.635 0.759 0.219
Er: 0.646 0.118 0.001
Er: 0.759 0.219 0.635
Er: 0.781 0.365 0.241
Er: 0.882 0.999 0.354
Er: 0.999 0.354 0.882
Th: 0.500 0.500 0.500

=====

No. 7
The following is a DFT calculation (PBE-GGA) of a relaxed YErTh crystal.

Output
Space-group type: P3m1, No. 156
E_form in eV per atom: 0.021
Magnetic moment in μB/cell: 0.0
DOS at the Fermi energy in states/eV per atom: 1.6143

abc: 3.570 3.570 8.638
angles: 90.00 90.00 120.00
Element x y z (fractional)
Y: 0.000 0.000 0.000
Er: 0.333 0.667 0.655
Th: 0.667 0.333 0.331

=====

No. 8
The following is a DFT calculation (PBE-GGA) of a relaxed Y14ErTh crystal.

Output
Space-group type: P4/mmm, No. 123
E_form in eV per atom: 0.024
Magnetic moment in μB/cell: 0.0
DOS at the Fermi energy in states/eV per atom: 1.3974

abc: 7.147 7.147 10.079
angles: 90.00 90.00 90.00
Element x y z (fractional)
Y: 0.000 0.000 0.000
Y: 0.000 0.500 0.000
Y: 0.000 0.500 0.500
Y: 0.248 0.248 0.253
Y: 0.248 0.248 0.747
Y: 0.248 0.752 0.253
Y: 0.248 0.752 0.747
Y: 0.500 0.000 0.000
Y: 0.500 0.000 0.500
Y: 0.500 0.500 0.000
Y: 0.752 0.248 0.253
Y: 0.752 0.248 0.747
Y: 0.752 0.752 0.253
Y: 0.752 0.752 0.747
Er: 0.500 0.500 0.500
Th: 0.000 0.000 0.500